Record 1
Compound: BeNi2Ir
Source: Alexandria
Functional: PBE
Structure: relaxed

```
4
Lattice="1.299 0.750 7.818 -1.299 0.750 7.818 0.000 -1.500 7.818" Properties=species:S:1:pos:R:3 pbc="T T T"
Be 0.000 0.000 0.000
Ni 0.000 0.000 6.084
Ni 0.000 0.000 17.371
Ir 0.000 0.000 11.727
```

Values from the calculation:
symmetry	R-3m (166)
magnetization	0.55	μB/f.u.
final energy	-24.4	eV per cell

Record 2
Compound: BeNi2Ir
Source: Alexandria
Functional: PBE
Structure: relaxed

```
4
Lattice="-1.356 2.062 4.002 1.356 -2.062 4.002 1.356 2.062 -4.002" Properties=species:S:1:pos:R:3 pbc="T T T"
Be 0.000 0.000 0.000
Ni 0.000 0.000 4.096
Ni 0.000 2.062 2.270
Ir 1.356 0.000 1.874
```

Values from the calculation:
symmetry	Imm2 (44)
magnetization	0.50	μB/f.u.
final energy	-24.7	eV per cell

Record 3
Compound: BeNi2Ir
Source: Alexandria
Functional: PBE
Structure: relaxed

```
4
Lattice="2.436 -3.592 0.000 2.436 3.592 0.000 0.000 0.000 2.613" Properties=species:S:1:pos:R:3 pbc="T T T"
Be 0.000 0.000 0.000
Ni 1.218 1.796 1.306
Ni 1.218 -1.796 1.306
Ir 2.436 0.000 0.000
```

Values from the calculation:
symmetry	Cmmm (65)
magnetization	0.00	μB/f.u.
final energy	-24.7	eV per cell

Record 4
Compound: BeNi2Ir
Source: Alexandria
Functional: PBE
Structure: relaxed

```
4
Lattice="2.712 0.000 0.000 0.000 2.712 0.000 0.000 0.000 5.996" Properties=species:S:1:pos:R:3 pbc="T T T"
Be 0.000 0.000 0.000
Ni 0.000 0.000 3.168
Ni 1.356 1.356 4.764
Ir 1.356 1.356 1.431
```

Values from the calculation:
symmetry	P4mm (99)
magnetization	0.96	μB/f.u.
final energy	-24.9	eV per cell

Record 5
Compound: BeNi2Ir
Source: Alexandria
Functional: PBE
Structure: relaxed

```
4
Lattice="1.351 -2.187 0.000 1.351 2.187 0.000 0.000 0.000 7.870" Properties=species:S:1:pos:R:3 pbc="T T T"
Be 0.000 0.000 0.000
Ni 0.000 0.000 4.125
Ni 1.351 0.000 6.152
Ir 1.351 0.000 1.887
```

Values from the calculation:
symmetry	Cmm2 (35)
magnetization	0.71	μB/f.u.
final energy	-24.1	eV per cell

Record 6
Compound: BeNi2Ir
Source: Alexandria
Functional: PBE
Structure: relaxed

```
4
Lattice="-1.737 1.737 3.725 1.737 -1.737 3.725 1.737 1.737 -3.725" Properties=species:S:1:pos:R:3 pbc="T T T"
Be 0.000 0.000 0.000
Ni 1.737 0.000 1.863
Ni 0.000 1.737 1.863
Ir 0.000 0.000 3.725
```

Values from the calculation:
symmetry	I4/mmm (139)
magnetization	0.99	μB/f.u.
final energy	-24.7	eV per cell

Record 7
Compound: BeNi2Ir
Source: Alexandria
Functional: PBE
Structure: relaxed

```
4
Lattice="-1.393 1.963 4.005 1.393 -1.963 4.005 1.393 1.963 -4.005" Properties=species:S:1:pos:R:3 pbc="T T T"
Be 0.000 0.000 0.000
Ni 1.393 0.000 1.821
Ni 0.000 1.963 2.184
Ir 0.000 0.000 4.005
```

Values from the calculation:
symmetry	Immm (71)
magnetization	1.16	μB/f.u.
final energy	-25.0	eV per cell

Record 8
Compound: BeNi2Ir
Source: Alexandria
Functional: PBE
Structure: relaxed

```
4
Lattice="4.160 0.000 0.000 0.000 4.160 0.000 0.000 0.000 2.679" Properties=species:S:1:pos:R:3 pbc="T T T"
Be 0.000 0.000 0.000
Ni 0.000 2.080 1.339
Ni 2.080 0.000 1.339
Ir 2.080 2.080 0.000
```

Values from the calculation:
symmetry	P4/mmm (123)
magnetization	0.00	μB/f.u.
final energy	-24.3	eV per cell

Record 9
Compound: Be4NiIr3
Source: Alexandria
Functional: PBE
Structure: relaxed

```
8
Lattice="2.784 0.000 0.000 0.000 2.784 0.000 0.000 0.000 10.962" Properties=species:S:1:pos:R:3 pbc="T T T"
Be 0.000 0.000 1.305
Be 0.000 0.000 4.056
Be 0.000 0.000 6.907
Be 0.000 0.000 9.657
Ni 1.392 1.392 0.000
Ir 1.392 1.392 2.645
Ir 1.392 1.392 5.481
Ir 1.392 1.392 8.318
```

Values from the calculation:
symmetry	P4/mmm (123)
magnetization	0.00	μB/f.u.
final energy	-51.5	eV per cell

Record 10
Compound: BeNi2Ir
Source: Alexandria
Functional: PBE
Structure: relaxed

```
4
Lattice="2.613 0.000 0.000 0.000 3.695 0.000 -1.301 0.000 4.663" Properties=species:S:1:pos:R:3 pbc="T T T"
Be 0.000 0.000 0.000
Ni -0.005 0.000 2.341
Ni 1.301 1.847 3.405
Ir 1.299 1.847 0.918
```

Values from the calculation:
symmetry	Pm (6)
magnetization	0.93	μB/f.u.
final energy	-24.7	eV per cell

| no. | energy of formation from the pure elements (meV/atom) |
| --- | --- |
| 1 | -51 |
| 2 | -148 |
| 3 | -144 |
| 4 | -185 |
| 5 | 15 |
| 6 | -148 |
| 7 | -203 |
| 8 | -29 |
| 9 | -525 |
| 10 | -144 |